P:
Compound: Sc2TlCuC
Source: Alexandria
Functional: PBE
Structure: relaxed

Structure (extended XYZ):
```
5
Lattice="4.5775 0.0000 0.0000 0.0000 4.5775 0.0000 0.0000 0.0000 4.0507" Properties=species:S:1:pos:R:3 pbc="T T T"
Sc 0.0000 2.2887 0.0000
Sc 2.2887 0.0000 0.0000
Tl 0.0000 0.0000 2.0254
Cu 2.2887 2.2887 2.0254
C 2.2887 2.2887 0.0000
```

Values from the calculation:
The density of states at the Fermi level comes out at 3.4 states/eV/f.u.

---

Q:
Compound: Sc2TlCuC
Source: Alexandria
Functional: PBE
Structure: relaxed

Structure (extended XYZ):
```
5
Lattice="5.4626 0.0000 0.0000 0.0000 5.4626 0.0000 0.0000 0.0000 4.1267" Properties=species:S:1:pos:R:3 pbc="T T T"
Sc 0.0000 2.7313 0.0000
Sc 2.7313 0.0000 0.0000
Tl 0.0000 0.0000 0.0000
Cu 2.7313 2.7313 2.0634
C 0.0000 0.0000 2.0634
```

Values from the calculation:
The density of states at the Fermi level comes out at 6.1 states/eV/f.u.

---

Here is how they stack up, most stable first: P, Q.

---

P:
Compound: Cu3CSe
Source: Alexandria
Functional: PBE
Structure: relaxed

Structure (extended XYZ):
```
5
Lattice="4.5334 0.0000 0.0000 0.0000 4.5334 0.0000 0.0000 0.0000 4.5334" Properties=species:S:1:pos:R:3 pbc="T T T"
Cu 0.0000 0.0000 2.2667
Cu 0.0000 2.2667 0.0000
Cu 2.2667 0.0000 0.0000
C 2.2667 2.2667 2.2667
Se 0.0000 0.0000 0.0000
```

Values from the calculation:
The density of states at the Fermi level comes out at 3.7 states/eV/f.u.

---

Q:
Compound: Cu3CSe
Source: Alexandria
Functional: PBE
Structure: relaxed

Structure (extended XYZ):
```
5
Lattice="4.0044 0.0000 0.0000 0.0000 4.0044 0.0000 0.0000 0.0000 4.0044" Properties=species:S:1:pos:R:3 pbc="T T T"
Cu 0.0000 0.0000 2.0022
Cu 0.0000 2.0022 0.0000
Cu 2.0022 0.0000 0.0000
C 0.0000 0.0000 0.0000
Se 2.0022 2.0022 2.0022
```

Values from the calculation:
The density of states at the Fermi level comes out at 2.4 states/eV/f.u.

---

Here is how they stack up, most stable first: Q, P.

---

P:
Compound: Cu2CSe
Source: Alexandria
Functional: PBE
Structure: relaxed

Structure (extended XYZ):
```
16
Lattice="5.8959 0.0000 0.0000 0.0000 5.8959 0.0000 0.0000 0.0000 5.8959" Properties=species:S:1:pos:R:3 pbc="T T T"
Cu 1.4740 1.4740 1.4740
Cu 1.4740 1.4740 4.4220
Cu 1.4740 4.4220 1.4740
Cu 1.4740 4.4220 4.4220
Cu 4.4220 1.4740 1.4740
Cu 4.4220 1.4740 4.4220
Cu 4.4220 4.4220 1.4740
Cu 4.4220 4.4220 4.4220
C 0.0000 0.0000 0.0000
C 0.0000 2.9480 2.9480
C 2.9480 0.0000 2.9480
C 2.9480 2.9480 0.0000
Se 0.0000 0.0000 2.9480
Se 0.0000 2.9480 0.0000
Se 2.9480 0.0000 0.0000
Se 2.9480 2.9480 2.9480
```

Values from the calculation:
The density of states at the Fermi level comes out at 2.7 states/eV/f.u.

---

Q:
Compound: Cu2CSe
Source: Alexandria
Functional: PBE
Structure: relaxed

Structure (extended XYZ):
```
16
Lattice="4.3343 0.0000 0.0000 0.0000 4.3343 0.0000 0.0000 0.0000 12.2385" Properties=species:S:1:pos:R:3 pbc="T T T"
Cu 0.5953 1.0836 1.5298
Cu 1.0836 2.7624 4.5894
Cu 1.0836 3.7390 10.7087
Cu 1.5719 1.0836 7.6491
Cu 2.7624 3.2507 7.6491
Cu 3.2507 0.5953 10.7087
Cu 3.2507 1.5719 4.5894
Cu 3.7390 3.2507 1.5298
C 0.0000 0.0000 0.0000
C 0.0000 2.1672 3.0596
C 2.1672 0.0000 9.1789
C 2.1672 2.1672 6.1193
Se 0.0000 0.0000 6.1193
Se 0.0000 2.1672 9.1789
Se 2.1672 0.0000 3.0596
Se 2.1672 2.1672 0.0000
```

Values from the calculation:
The density of states at the Fermi level comes out at 0.8 states/eV/f.u.

---

Here is how they stack up, most stable first: Q, P.

---

P:
Compound: Cu3SiC
Source: Alexandria
Functional: PBE
Structure: relaxed

Structure (extended XYZ):
```
5
Lattice="3.9303 0.0000 0.0000 0.0000 3.9303 0.0000 0.0000 0.0000 3.9303" Properties=species:S:1:pos:R:3 pbc="T T T"
Cu 0.0000 0.0000 1.9652
Cu 0.0000 1.9652 0.0000
Cu 1.9652 0.0000 0.0000
Si 1.9652 1.9652 1.9652
C 0.0000 0.0000 0.0000
```

Values from the calculation:
The density of states at the Fermi level comes out at 1.3 states/eV/f.u.

---

Q:
Compound: Cu3SiC
Source: Alexandria
Functional: PBE
Structure: relaxed

Structure (extended XYZ):
```
5
Lattice="4.3516 0.0000 0.0000 0.0000 4.3516 0.0000 0.0000 0.0000 4.3516" Properties=species:S:1:pos:R:3 pbc="T T T"
Cu 0.0000 0.0000 2.1758
Cu 0.0000 2.1758 0.0000
Cu 2.1758 0.0000 0.0000
Si 0.0000 0.0000 0.0000
C 2.1758 2.1758 2.1758
```

Values from the calculation:
The density of states at the Fermi level comes out at 2.9 states/eV/f.u.

---

Here is how they stack up, most stable first: P, Q.

---

P:
Compound: CuSi3C
Source: Alexandria
Functional: PBE
Structure: relaxed

Structure (extended XYZ):
```
5
Lattice="4.3870 0.0000 0.0000 0.0000 4.3870 0.0000 0.0000 0.0000 4.3870" Properties=species:S:1:pos:R:3 pbc="T T T"
Cu 0.0000 0.0000 0.0000
Si 0.0000 0.0000 2.1935
Si 0.0000 2.1935 0.0000
Si 2.1935 0.0000 0.0000
C 2.1935 2.1935 2.1935
```

Values from the calculation:
The density of states at the Fermi level comes out at 2.5 states/eV/f.u.

---

Q:
Compound: CuSi3C
Source: Alexandria
Functional: PBE
Structure: relaxed

Structure (extended XYZ):
```
5
Lattice="4.0143 0.0000 0.0000 0.0000 4.0143 0.0000 0.0000 0.0000 4.0143" Properties=species:S:1:pos:R:3 pbc="T T T"
Cu 0.0000 0.0000 0.0000
Si 0.0000 2.0071 2.0071
Si 2.0071 0.0000 2.0071
Si 2.0071 2.0071 0.0000
C 2.0071 2.0071 2.0071
```

Values from the calculation:
The density of states at the Fermi level comes out at 1.8 states/eV/f.u.

---

Here is how they stack up, most stable first: Q, P.

---

P:
Compound: CuSnC
Source: Alexandria
Functional: PBE
Structure: relaxed

Structure (extended XYZ):
```
6
Lattice="6.4912 0.0000 0.0000 0.0000 3.1986 0.0000 -1.2978 0.0000 4.8837" Properties=species:S:1:pos:R:3 pbc="T T T"
Cu 0.0000 0.0000 0.0000
Cu 3.2456 1.5993 0.0000
Sn 0.1039 0.0000 2.5814
Sn 3.3495 1.5993 2.5814
C 2.0405 0.0000 3.6826
C 5.2861 1.5993 3.6826
```

Values from the calculation:
The density of states at the Fermi level comes out at 1.1 states/eV/f.u.

---

Q:
Compound: CuSnC
Source: Alexandria
Functional: PBE
Structure: relaxed

Structure (extended XYZ):
```
3
Lattice="3.6305 0.0000 0.0000 0.0000 3.0314 0.0000 -1.7970 0.0000 4.6669" Properties=species:S:1:pos:R:3 pbc="T T T"
Cu 0.0000 0.0000 0.0000
Sn 0.0139 1.5157 2.2224
C 1.8289 1.5157 3.4446
```

Values from the calculation:
The density of states at the Fermi level comes out at 0.5 states/eV/f.u.

---

R:
Compound: CuSnC
Source: Alexandria
Functional: PBE
Structure: relaxed

Structure (extended XYZ):
```
3
Lattice="3.1758 0.0000 0.0000 1.4954 3.1880 0.0000 0.3104 0.4281 4.5510" Properties=species:S:1:pos:R:3 pbc="T T T"
Cu 0.0000 0.0000 0.0000
Sn 1.5253 1.8182 2.4023
C 3.0909 3.0909 1.2496
```

Values from the calculation:
The density of states at the Fermi level comes out at 1.3 states/eV/f.u.

---

Here is how they stack up, most stable first: Q, P, R.

---

P:
Compound: CuSn2C
Source: Alexandria
Functional: PBE
Structure: relaxed

Structure (extended XYZ):
```
16
Lattice="6.5678 0.0000 0.0000 0.0000 6.5678 0.0000 0.0000 0.0000 6.5678" Properties=species:S:1:pos:R:3 pbc="T T T"
Cu 0.0000 0.0000 0.0000
Cu 0.0000 3.2839 3.2839
Cu 3.2839 0.0000 3.2839
Cu 3.2839 3.2839 0.0000
Sn 1.6420 1.6420 1.6420
Sn 1.6420 1.6420 4.9259
Sn 1.6420 4.9259 1.6420
Sn 1.6420 4.9259 4.9259
Sn 4.9259 1.6420 1.6420
Sn 4.9259 1.6420 4.9259
Sn 4.9259 4.9259 1.6420
Sn 4.9259 4.9259 4.9259
C 0.0000 0.0000 3.2839
C 0.0000 3.2839 0.0000
C 3.2839 0.0000 0.0000
C 3.2839 3.2839 3.2839
```

Values from the calculation:
The density of states at the Fermi level comes out at 2.4 states/eV/f.u.

---

Q:
Compound: CuSn2C
Source: Alexandria
Functional: PBE
Structure: relaxed

Structure (extended XYZ):
```
16
Lattice="5.8148 0.0000 0.0000 0.0000 5.8148 0.0000 0.0000 0.0000 9.7161" Properties=species:S:1:pos:R:3 pbc="T T T"
Cu 0.0000 0.0000 0.0000
Cu 0.0000 2.9074 2.4290
Cu 2.9074 0.0000 7.2871
Cu 2.9074 2.9074 4.8581
Sn 1.1621 1.4537 6.0726
Sn 1.4537 4.0695 8.5016
Sn 1.4537 4.6528 3.6435
Sn 1.7454 1.4537 1.2145
Sn 4.0695 4.3611 1.2145
Sn 4.3611 1.1621 3.6435
Sn 4.3611 1.7454 8.5016
Sn 4.6528 4.3611 6.0726
C 0.0000 0.0000 4.8581
C 0.0000 2.9074 7.2871
C 2.9074 0.0000 2.4290
C 2.9074 2.9074 0.0000
```

Values from the calculation:
The density of states at the Fermi level comes out at 2.4 states/eV/f.u.

---

Here is how they stack up, most stable first: Q, P.

---

P:
Compound: CuSnC3
Source: Alexandria
Functional: PBE
Structure: relaxed

Structure (extended XYZ):
```
5
Lattice="4.2858 0.0000 0.0000 0.0000 4.2858 0.0000 0.0000 0.0000 4.2858" Properties=species:S:1:pos:R:3 pbc="T T T"
Cu 0.0000 0.0000 0.0000
Sn 2.1429 2.1429 2.1429
C 0.0000 2.1429 2.1429
C 2.1429 0.0000 2.1429
C 2.1429 2.1429 0.0000
```

Values from the calculation:
The density of states at the Fermi level comes out at 5.0 states/eV/f.u.

---

Q:
Compound: CuSnC3
Source: Alexandria
Functional: PBE
Structure: relaxed

Structure (extended XYZ):
```
5
Lattice="3.9550 0.0000 0.0000 0.0000 3.9550 0.0000 0.0000 0.0000 3.9550" Properties=species:S:1:pos:R:3 pbc="T T T"
Cu 0.0000 0.0000 0.0000
Sn 1.9775 1.9775 1.9775
C 0.0000 0.0000 1.9775
C 0.0000 1.9775 0.0000
C 1.9775 0.0000 0.0000
```

Values from the calculation:
The density of states at the Fermi level comes out at 3.3 states/eV/f.u.

---

Here is how they stack up, most stable first: Q, P.

---

P:
Compound: Cu2SnC
Source: Alexandria
Functional: PBE
Structure: relaxed

Structure (extended XYZ):
```
16
Lattice="4.6468 0.0000 0.0000 0.0000 4.6468 0.0000 0.0000 0.0000 11.9539" Properties=species:S:1:pos:R:3 pbc="T T T"
Cu 0.3807 1.1617 1.4942
Cu 1.1617 2.7041 4.4827
Cu 1.1617 4.2661 10.4596
Cu 1.9427 1.1617 7.4712
Cu 2.7041 3.4851 7.4712
Cu 3.4851 0.3807 10.4596
Cu 3.4851 1.9427 4.4827
Cu 4.2661 3.4851 1.4942
Sn 0.0000 0.0000 5.9769
Sn 0.0000 2.3234 8.9654
Sn 2.3234 0.0000 2.9885
Sn 2.3234 2.3234 0.0000
C 0.0000 0.0000 0.0000
C 0.0000 2.3234 2.9885
C 2.3234 0.0000 8.9654
C 2.3234 2.3234 5.9769
```

Values from the calculation:
The density of states at the Fermi level comes out at 0.2 states/eV/f.u.

---

Q:
Compound: Cu2SnC
Source: Alexandria
Functional: PBE
Structure: relaxed

Structure (extended XYZ):
```
16
Lattice="6.0569 0.0000 0.0000 0.0000 6.0569 0.0000 0.0000 0.0000 6.0569" Properties=species:S:1:pos:R:3 pbc="T T T"
Cu 1.5142 1.5142 1.5142
Cu 1.5142 1.5142 4.5427
Cu 1.5142 4.5427 1.5142
Cu 1.5142 4.5427 4.5427
Cu 4.5427 1.5142 1.5142
Cu 4.5427 1.5142 4.5427
Cu 4.5427 4.5427 1.5142
Cu 4.5427 4.5427 4.5427
Sn 0.0000 0.0000 0.0000
Sn 0.0000 3.0285 3.0285
Sn 3.0285 0.0000 3.0285
Sn 3.0285 3.0285 0.0000
C 0.0000 0.0000 3.0285
C 0.0000 3.0285 0.0000
C 3.0285 0.0000 0.0000
C 3.0285 3.0285 3.0285
```

Values from the calculation:
The density of states at the Fermi level comes out at 0.2 states/eV/f.u.

---

Here is how they stack up, most stable first: P, Q.

---

P:
Compound: Sr2CuSnC
Source: Alexandria
Functional: PBE
Structure: relaxed

Structure (extended XYZ):
```
5
Lattice="6.2880 0.0000 0.0000 0.0000 6.2880 0.0000 0.0000 0.0000 4.7801" Properties=species:S:1:pos:R:3 pbc="T T T"
Sr 0.0000 3.1440 0.0000
Sr 3.1440 0.0000 0.0000
Cu 0.0000 0.0000 2.3901
Sn 0.0000 0.0000 0.0000
C 3.1440 3.1440 2.3901
```

Values from the calculation:
The density of states at the Fermi level comes out at 1.6 states/eV/f.u.

---

Q:
Compound: Sr2CuSnC
Source: Alexandria
Functional: PBE
Structure: relaxed

Structure (extended XYZ):
```
5
Lattice="6.2974 0.0000 0.0000 0.0000 6.2974 0.0000 0.0000 0.0000 4.2518" Properties=species:S:1:pos:R:3 pbc="T T T"
Sr 0.0000 3.1487 0.0000
Sr 3.1487 0.0000 0.0000
Cu 0.0000 0.0000 2.1259
Sn 3.1487 3.1487 0.0000
C 3.1487 3.1487 2.1259
```

Values from the calculation:
The density of states at the Fermi level comes out at 2.8 states/eV/f.u.

---

Here is how they stack up, most stable first: Q, P.

---

P:
Compound: Y2CuSnC
Source: Alexandria
Functional: PBE
Structure: relaxed

Structure (extended XYZ):
```
5
Lattice="5.0316 0.0000 0.0000 0.0000 5.0316 0.0000 0.0000 0.0000 3.9471" Properties=species:S:1:pos:R:3 pbc="T T T"
Y 0.0000 2.5158 0.0000
Y 2.5158 0.0000 0.0000
Cu 0.0000 0.0000 1.9735
Sn 2.5158 2.5158 1.9735
C 0.0000 0.0000 0.0000
```

Values from the calculation:
The density of states at the Fermi level comes out at 4.6 states/eV/f.u.

---

Q:
Compound: Y2CuSnC
Source: Alexandria
Functional: PBE
Structure: relaxed

Structure (extended XYZ):
```
5
Lattice="4.8752 0.0000 0.0000 0.0000 4.8752 0.0000 0.0000 0.0000 4.4607" Properties=species:S:1:pos:R:3 pbc="T T T"
Y 0.0000 2.4376 0.0000
Y 2.4376 0.0000 0.0000
Cu 0.0000 0.0000 2.2303
Sn 2.4376 2.4376 2.2303
C 2.4376 2.4376 0.0000
```

Values from the calculation:
The density of states at the Fermi level comes out at 4.5 states/eV/f.u.

---

Here is how they stack up, most stable first: P, Q.

---

P:
Compound: TaCu3C
Source: Alexandria
Functional: PBE
Structure: relaxed

Structure (extended XYZ):
```
5
Lattice="3.9318 0.0000 0.0000 0.0000 3.9318 0.0000 0.0000 0.0000 3.9318" Properties=species:S:1:pos:R:3 pbc="T T T"
Ta 0.0000 0.0000 0.0000
Cu 0.0000 1.9659 1.9659
Cu 1.9659 0.0000 1.9659
Cu 1.9659 1.9659 0.0000
C 1.9659 1.9659 1.9659
```

Values from the calculation:
The density of states at the Fermi level comes out at 3.2 states/eV/f.u.

---

Q:
Compound: TaCu3C
Source: Alexandria
Functional: PBE
Structure: relaxed

Structure (extended XYZ):
```
5
Lattice="4.7957 0.0000 0.0000 0.0000 4.7957 0.0000 0.0000 0.0000 4.7957" Properties=species:S:1:pos:R:3 pbc="T T T"
Ta 0.0000 0.0000 0.0000
Cu 0.0000 0.0000 2.3979
Cu 0.0000 2.3979 0.0000
Cu 2.3979 0.0000 0.0000
C 2.3979 2.3979 2.3979
```

Values from the calculation:
The density of states at the Fermi level comes out at 5.1 states/eV/f.u.

---

Here is how they stack up, most stable first: P, Q.